K2PtRh: single point on PBEsol structure, SCAN.

a = 2.8644 Å, b = 4.1162 Å, c = 9.6121 Å
α = 90.00°, β = 90.00°, γ = 90.00°
Closest atoms and distances in Å follow each position.
Space group Pmm2 (No. 25)
One atom of each set of equivalent atoms:
K (0.0000, 0.0000, 0.0000) x1  2 K 2.86, 1 Pt 3.01
K (0.5000, 0.5000, 0.4447) x1  2 K 2.86, 1 Rh 2.96
Pt (0.0000, 0.0000, 0.6872) x1  4 Rh 2.59, 2 Pt 2.86
Rh (0.5000, 0.5000, 0.7529) x1  4 Pt 2.59, 2 Rh 2.86

N(E_F) in states/eV/atom: 0.774
ΔH_f (0 K) in eV/f.u.: 0.595
Magnetization in Bohr magnetons per cell: 0.12
Calculated volume in Å³ per cell: 113.33
VASP energy in eV per atom: -30.01

K2PtRh: single point on PBEsol structure, SCAN.

a = 8.7987 Å, b = 2.8735 Å, c = 9.3387 Å
α = 90.00°, β = 93.69°, γ = 90.00°
Closest atoms and distances in Å follow each position.
Space group Cm (No. 8)
One atom of each set of equivalent atoms:
K (0.0000, 0.0000, 0.0000) x2  2 K 2.87, 2 Pt 3.21
K (0.2208, 0.0000, 0.5479) x2  2 K 2.87, 2 Rh 3.20
Pt (0.4791, 0.0000, 0.3055) x2  3 Rh 2.45-2.54
Rh (0.2454, 0.5000, 0.2445) x2  3 Pt 2.45-2.54

N(E_F) in states/eV/atom: 0.693
ΔH_f (0 K) in eV/f.u.: 0.817
Magnetization in Bohr magnetons per cell: 0.85
Calculated volume in Å³ per cell: 235.62
VASP energy in eV per atom: -29.95

KPt2Rh: single point on PBEsol structure, SCAN.

a = 4.9922 Å, b = 4.9922 Å, c = 2.6921 Å
α = 90.00°, β = 90.00°, γ = 90.00°
Closest atoms and distances in Å follow each position.
Space group P4/mmm (No. 123)
One atom of each set of equivalent atoms:
K (0.0000, 0.0000, 0.0000) x1  2 K 2.69, 8 Pt 2.84
Pt (0.0000, 0.5000, 0.5000) x2  2 Pt 2.69, 4 K 2.84, 4 Rh 2.84
Rh (0.5000, 0.5000, 0.0000) x1  2 Rh 2.69, 8 Pt 2.84

N(E_F) in states/eV/atom: 0.756
ΔH_f (0 K) in eV/f.u.: 1.791
Magnetization in Bohr magnetons per cell: 0.00
Calculated volume in Å³ per cell: 67.09
VASP energy in eV per atom: -45.17

KPt2Rh: single point on PBEsol structure, SCAN.

a = 2.6980 Å, b = 4.8961 Å, c = 5.0539 Å
α = 90.00°, β = 90.00°, γ = 90.00°
Closest atoms and distances in Å follow each position.
Space group Pmmm (No. 47)
One atom of each set of equivalent atoms:
K (0.0000, 0.0000, 0.0000) x1  2 K 2.70, 4 Rh 2.80, 4 Pt 2.86
Pt (0.0000, 0.5000, 0.5000) x1  6 Pt 2.70-2.80, 4 Rh 2.86
Pt (0.5000, 0.0000, 0.5000) x1  6 Pt 2.70-2.80, 4 K 2.86
Rh (0.5000, 0.5000, 0.0000) x1  2 Rh 2.70, 4 K 2.80, 4 Pt 2.86

N(E_F) in states/eV/atom: 0.858
ΔH_f (0 K) in eV/f.u.: 2.026
Magnetization in Bohr magnetons per cell: 0.61
Calculated volume in Å³ per cell: 66.76
VASP energy in eV per atom: -45.12

KPt2Rh: single point on PBEsol structure, SCAN.

a = 2.7746 Å, b = 2.7746 Å, c = 8.9840 Å
α = 90.00°, β = 90.00°, γ = 90.00°
Closest atoms and distances in Å follow each position.
Space group P4/mmm (No. 123)
One atom of each set of equivalent atoms:
K (0.0000, 0.0000, 0.0000) x1  4 K 2.77
Pt (0.5000, 0.5000, 0.2967) x2  4 Rh 2.68, 4 Pt 2.77
Rh (0.0000, 0.0000, 0.5000) x1  8 Pt 2.68, 4 Rh 2.77

N(E_F) in states/eV/atom: 0.908
ΔH_f (0 K) in eV/f.u.: 0.463
Magnetization in Bohr magnetons per cell: 0.00
Calculated volume in Å³ per cell: 69.16
VASP energy in eV per atom: -45.51

KPt2Rh: single point on PBEsol structure, SCAN.

a = 2.6918 Å, b = 5.0011 Å, c = 10.4285 Å
α = 90.00°, β = 90.00°, γ = 90.00°
Closest atoms and distances in Å follow each position.
Space group Imm2 (No. 44)
One atom of each set of equivalent atoms:
K (0.0000, 0.0000, 0.0000) x2  2 K 2.69, 4 Pt 2.84
Pt (0.0000, 0.0000, 0.5053) x2  2 Rh 2.62, 4 Pt 2.69-2.70, 4 K 2.84
Pt (0.0000, 0.5000, 0.7808) x2  4 Pt 2.69-2.70, 4 Rh 2.91
Rh (0.0000, 0.5000, 0.2208) x2  6 Pt 2.62-2.91, 2 Rh 2.69

N(E_F) in states/eV/atom: 0.815
ΔH_f (0 K) in eV/f.u.: 1.293
Magnetization in Bohr magnetons per cell: 2.50
Calculated volume in Å³ per cell: 140.39
VASP energy in eV per atom: -45.30